Record 1
! Ce3NdEr2P6, relaxed, DFT PBE-GGA; values from VASP
! * density: 6.34 g/cm³
! * E_form: -1539 meV per atom
&SYSTEM
  ibrav = 0, nat = 12, ntyp = 4
/
ATOMIC_SPECIES
Ce 140.12 Ce.upf
Nd 144.24 Nd.upf
Er 167.26 Er.upf
P 30.97 P.upf
ATOMIC_POSITIONS crystal
Ce 0.000 0.000 0.000
Ce 0.335 0.665 0.000
Ce 0.665 0.335 0.000
Nd 0.500 0.500 0.500
Er 0.167 0.833 0.500
Er 0.833 0.167 0.500
P 0.077 0.417 0.251
P 0.242 0.242 0.748
P 0.417 0.077 0.251
P 0.583 0.923 0.749
P 0.758 0.758 0.252
P 0.923 0.583 0.749
CELL_PARAMETERS angstrom
3.520 -6.097 0.000
3.520 6.097 0.000
-2.349 0.000 6.619


Record 2
! BeBPt2, relaxed, DFT PBE-GGA; values from VASP
! * density: 11.41 g/cm³
! * E_form: -42 meV per atom
&SYSTEM
  ibrav = 0, nat = 16, ntyp = 3
/
ATOMIC_SPECIES
Be 9.01 Be.upf
B 10.81 B.upf
Pt 195.08 Pt.upf
ATOMIC_POSITIONS crystal
Be 0.000 0.000 0.000
Be 0.000 0.500 0.250
Be 0.500 0.000 0.750
Be 0.500 0.500 0.500
B 0.000 0.000 0.500
B 0.000 0.500 0.750
B 0.500 0.000 0.250
B 0.500 0.500 0.000
Pt 0.221 0.250 0.625
Pt 0.250 0.721 0.875
Pt 0.250 0.779 0.375
Pt 0.279 0.250 0.125
Pt 0.721 0.750 0.125
Pt 0.750 0.221 0.375
Pt 0.750 0.279 0.875
Pt 0.779 0.750 0.625
CELL_PARAMETERS angstrom
5.011 0.000 0.000
0.000 5.011 0.000
0.000 0.000 9.503


Record 3
! Ba2GePb2Au4, relaxed, DFT PBE-GGA; values from VASP
! * density: 10.14 g/cm³
! * E_form: -408 meV per atom
&SYSTEM
  ibrav = 0, nat = 9, ntyp = 4
/
ATOMIC_SPECIES
Ba 137.33 Ba.upf
Ge 72.64 Ge.upf
Pb 207.20 Pb.upf
Au 196.97 Au.upf
ATOMIC_POSITIONS crystal
Ba 0.250 0.750 0.500
Ba 0.750 0.250 0.500
Ge 0.000 0.000 0.000
Pb 0.325 0.325 0.000
Pb 0.675 0.675 0.000
Au 0.258 0.258 0.516
Au 0.258 0.742 0.000
Au 0.742 0.258 0.000
Au 0.742 0.742 0.484
CELL_PARAMETERS angstrom
-3.542 3.542 5.059
3.542 -3.542 5.059
3.542 3.542 -5.059


Record 4
! KSnAs2Se, relaxed, DFT PBE-GGA; values from VASP
! * relative energy among the computed polymorphs: 0.0 meV/atom
! * density: 4.01 g/cm³
! * energy relative to the elements, uncorrected: 0.186 eV/atom
&SYSTEM
  ibrav = 0, nat = 5, ntyp = 4
/
ATOMIC_SPECIES
K 39.10 K.upf
Sn 118.71 Sn.upf
As 74.92 As.upf
Se 78.96 Se.upf
ATOMIC_POSITIONS crystal
K 0.000 0.000 0.000
Sn 0.500 0.500 0.500
As 0.000 0.500 0.500
As 0.500 0.000 0.500
Se 0.500 0.500 0.000
CELL_PARAMETERS angstrom
5.366 0.000 0.000
0.000 5.366 0.000
0.000 0.000 5.562


Record 5
! TlSn3Te4, relaxed, DFT PBE-GGA; values from VASP
! * density: 6.74 g/cm³
! * energy relative to the elements, uncorrected: -0.270 eV/atom
&SYSTEM
  ibrav = 0, nat = 16, ntyp = 3
/
ATOMIC_SPECIES
Tl 204.38 Tl.upf
Sn 118.71 Sn.upf
Te 127.60 Te.upf
ATOMIC_POSITIONS crystal
Tl 0.000 0.000 0.000
Tl 0.500 0.500 0.000
Sn 0.000 0.500 0.000
Sn 0.250 0.250 0.500
Sn 0.250 0.750 0.500
Sn 0.500 0.000 0.000
Sn 0.750 0.250 0.500
Sn 0.750 0.750 0.500
Te 0.000 0.256 0.000
Te 0.000 0.744 0.000
Te 0.238 0.500 0.500
Te 0.262 0.000 0.500
Te 0.500 0.244 0.000
Te 0.500 0.756 0.000
Te 0.738 0.000 0.500
Te 0.762 0.500 0.500
CELL_PARAMETERS angstrom
9.135 0.000 0.000
0.000 12.828 0.000
0.000 0.000 4.500


Record 6
! MnTe2OsI, relaxed, DFT PBE-GGA; values from VASP
! * density: 8.75 g/cm³
! * energy relative to the elements, uncorrected: 1.507 eV/atom
&SYSTEM
  ibrav = 0, nat = 5, ntyp = 4
/
ATOMIC_SPECIES
Mn 54.94 Mn.upf
Te 127.60 Te.upf
Os 190.23 Os.upf
I 126.90 I.upf
ATOMIC_POSITIONS crystal
Mn 0.000 0.000 0.000
Te 0.000 0.500 0.000
Te 0.500 0.000 0.000
Os 0.500 0.500 0.500
I 0.000 0.000 0.500
CELL_PARAMETERS angstrom
4.824 0.000 0.000
0.000 4.824 0.000
0.000 0.000 5.117


Record 7
! CaSi2, relaxed, DFT PBE-GGA; values from VASP
! * density: 2.36 g/cm³
! * energy relative to the elements, uncorrected: -0.372 eV/atom
&SYSTEM
  ibrav = 0, nat = 6, ntyp = 2
/
ATOMIC_SPECIES
Ca 40.08 Ca.upf
Si 28.09 Si.upf
ATOMIC_POSITIONS crystal
Ca 0.250 0.250 0.120
Ca 0.750 0.750 0.880
Si 0.250 0.054 0.616
Si 0.250 0.446 0.616
Si 0.750 0.554 0.384
Si 0.750 0.946 0.384
CELL_PARAMETERS angstrom
3.837 0.000 0.000
0.000 6.207 0.000
0.000 0.000 5.684


Record 8
! Tb2Dy2YEr2, relaxed, DFT PBE-GGA; values from VASP
! * density: 7.92 g/cm³
! * E_form: 141 meV per atom
&SYSTEM
  ibrav = 0, nat = 7, ntyp = 4
/
ATOMIC_SPECIES
Tb 158.93 Tb.upf
Dy 162.50 Dy.upf
Y 88.91 Y.upf
Er 167.26 Er.upf
ATOMIC_POSITIONS crystal
Tb 0.141 0.141 0.141
Tb 0.859 0.859 0.859
Dy 0.284 0.284 0.284
Dy 0.716 0.716 0.716
Y 0.000 0.000 0.000
Er 0.428 0.428 0.428
Er 0.572 0.572 0.572
CELL_PARAMETERS angstrom
2.821 1.628 8.110
-2.821 1.628 8.110
0.000 -3.257 8.110


- What is the density in the eighth record?
  7.92 g/cm³